Here is a relaxed structure of Be2SnPt2 from the Alexandria database. Energies are from PBE-GGA.

```
10
Lattice="-0.484 -5.940 3.784 -0.267 -3.775 -5.959 2.833 -0.222 0.014" Properties=species:S:1:pos:R:3 pbc="T T T"
Be -0.415 -5.537 -3.797
Be -0.590 -7.558 -0.406
Be -0.335 -4.177 1.622
Be -0.160 -2.156 -1.769
Sn 0.000 0.000 0.000
Sn -0.375 -4.857 -1.088
Pt 1.166 -3.516 -3.312
Pt 0.874 -7.194 -2.538
Pt 0.917 -6.421 1.151
Pt 1.209 -2.743 0.377
```

Values from the calculation:
Fermi-level density of states = 0.450 states/eV per atom
E_tot = -5.082 eV per atom

---

Here is a relaxed structure of RbMgCrCl6 from the Alexandria database. Energies are from PBE-GGA.

```
9
Lattice="6.387 0.000 0.000 3.194 5.531 0.000 0.000 0.000 7.416" Properties=species:S:1:pos:R:3 pbc="T T T"
Rb 6.387 0.000 7.416
Mg 3.193 1.844 3.708
Cr 6.387 3.687 3.708
Cl 7.487 2.097 2.333
Cl 5.560 5.436 5.082
Cl 5.287 2.097 5.082
Cl 8.315 3.530 5.082
Cl 4.459 3.529 2.333
Cl 7.214 5.436 2.333
```

Values from the calculation:
Fermi-level density of states = 0.000 states/eV per atom
E_tot = -4.159 eV per atom
Formation energy (no corrections) = -1.5737 eV per atom

---

Here is a relaxed structure of Dy2GeRu2 from the Alexandria database. Energies are from PBE-GGA.

```
10
Lattice="-2.704 -2.026 4.307 1.324 -3.480 -4.285 6.492 0.093 4.120" Properties=species:S:1:pos:R:3 pbc="T T T"
Dy -0.014 -1.979 1.485
Dy 2.699 -2.866 -0.709
Dy 5.125 -3.434 2.657
Dy 2.413 -2.547 4.851
Ge -0.766 -1.767 4.836
Ge 4.554 -0.166 3.592
Ru 2.207 -3.909 1.967
Ru -2.223 -2.960 3.111
Ru 2.904 -1.504 2.175
Ru 7.335 -2.453 1.031
```

Values from the calculation:
Fermi-level density of states = 0.405 states/eV per atom
E_tot = -7.026 eV per atom

---

Here is a relaxed structure of Cs2AlAgF6 from the Alexandria database. Energies are from PBE-GGA.

```
10
Lattice="-4.982 0.725 3.437 -3.318 -3.580 -4.054 2.990 -2.699 4.903" Properties=species:S:1:pos:R:3 pbc="T T T"
Cs -0.079 -2.852 2.584
Cs -5.230 -2.703 1.702
Al 0.000 0.000 0.000
Ag -2.491 0.362 1.718
F -3.739 -0.627 3.614
F -1.972 -2.223 6.512
F -3.933 -4.339 4.115
F -3.338 -3.332 -2.226
F -1.377 -1.216 0.170
F -1.571 -4.928 0.672
```

Values from the calculation:
Fermi-level density of states = 0.000 states/eV per atom
E_tot = -4.733 eV per atom
Formation energy (no corrections) = -2.7800 eV per atom

---

Here is a relaxed structure of PmHo2Br from the Alexandria database. Energies are from PBE-GGA.

```
4
Lattice="3.490 0.000 0.000 1.745 3.022 0.000 1.745 1.007 11.473" Properties=species:S:1:pos:R:3 pbc="T T T"
Ho 1.745 1.007 8.090
Ho 5.234 3.022 3.383
Br 3.490 2.015 5.736
Pm 0.000 0.000 0.000
```

Values from the calculation:
Fermi-level density of states = 1.810 states/eV per atom
E_tot = -4.118 eV per atom
Formation energy (no corrections) = -0.2231 eV per atom

---

Here is a relaxed structure of LaCe4Th15 from the Alexandria database. Energies are from PBE-GGA.

```
20
Lattice="-4.470 1.357 -1.774 -2.234 -2.784 3.497 -0.194 19.559 15.450" Properties=species:S:1:pos:R:3 pbc="T T T"
La 0.000 0.000 0.000
Ce -0.039 3.960 3.128
Ce -0.078 7.839 6.192
Ce -0.116 11.721 9.258
Ce -0.155 15.599 12.322
Th -3.352 -0.714 0.861
Th -3.391 3.248 3.991
Th -3.430 7.127 7.055
Th -3.468 11.005 10.117
Th -3.507 14.884 13.182
Th -2.255 2.698 0.708
Th -2.294 6.579 3.773
Th -2.332 10.458 6.838
Th -2.371 14.338 9.902
Th -2.409 18.218 12.968
Th -1.137 0.627 3.344
Th -1.175 4.508 6.409
Th -1.214 8.387 9.473
Th -1.253 12.267 12.538
Th -1.291 16.148 15.603
```

Values from the calculation:
Fermi-level density of states = 1.273 states/eV per atom
E_tot = -6.986 eV per atom

---

Here is a relaxed structure of Sc3Cu3Sb4 from the Alexandria database. Energies are from PBE-GGA.

```
20
Lattice="7.614 0.000 -2.692 -3.807 6.594 -2.692 0.000 0.000 8.076" Properties=species:S:1:pos:R:3 pbc="T T T"
Sc 1.904 4.946 3.365
Sc 5.711 1.649 2.019
Sc -0.476 2.473 0.673
Sc 2.380 0.824 4.711
Sc -1.428 5.770 -2.019
Sc 3.331 4.121 -0.673
Cu -1.904 4.946 0.673
Cu 1.904 1.649 -0.673
Cu 1.428 5.770 -2.019
Cu 4.283 4.122 2.019
Cu 0.476 2.473 3.365
Cu 5.235 0.824 4.711
Sb 0.000 0.000 2.717
Sb 2.526 2.219 1.786
Sb 4.430 1.079 -0.906
Sb 0.000 0.000 6.755
Sb 4.465 3.297 -3.598
Sb 0.623 5.516 0.440
Sb 0.658 3.297 -2.252
Sb -1.281 4.376 3.132
```

Values from the calculation:
Fermi-level density of states = 0.042 states/eV per atom
E_tot = -5.331 eV per atom
Formation energy (no corrections) = -0.5533 eV per atom

---

Here is a relaxed structure of InOs2RuS from the Alexandria database. Energies are from PBE-GGA.

```
5
Lattice="4.908 0.000 0.000 0.000 4.699 0.000 0.000 0.000 4.908" Properties=species:S:1:pos:R:3 pbc="T T T"
Ru 2.454 2.349 2.454
S 0.000 2.349 0.000
Os 0.000 0.000 2.454
Os 2.454 0.000 0.000
In 0.000 0.000 0.000
```

Values from the calculation:
Fermi-level density of states = 2.047 states/eV per atom
E_tot = -4.799 eV per atom
Formation energy (no corrections) = 2.9215 eV per atom

---

Here is a relaxed structure of K3AgW from the Alexandria database. Energies are from PBE-GGA.

```
5
Lattice="-5.459 2.363 -2.111 -2.576 -0.861 5.698 1.845 5.789 1.709" Properties=species:S:1:pos:R:3 pbc="T T T"
K -1.288 -0.430 2.849
K 0.923 2.895 0.854
K -2.730 1.182 -1.056
Ag 0.000 0.000 0.000
W -3.095 3.646 2.648
```

Values from the calculation:
Fermi-level density of states = 0.669 states/eV per atom
E_tot = -2.438 eV per atom

---

Here is a relaxed structure of SeClF3 from the Alexandria database. Energies are from PBE-GGA.

```
5
Lattice="4.399 0.000 0.000 0.000 4.399 0.000 0.000 0.000 4.399" Properties=species:S:1:pos:R:3 pbc="T T T"
F 0.000 2.199 0.000
F 0.000 0.000 2.199
F 2.199 0.000 0.000
Se 2.199 2.199 2.199
Cl 0.000 0.000 0.000
```

Values from the calculation:
Fermi-level density of states = 0.370 states/eV per atom
E_tot = -2.074 eV per atom
Formation energy (no corrections) = 0.1153 eV per atom

---

Here is a relaxed structure of PrSm2Ir from the Alexandria database. Energies are from PBE-GGA.

```
4
Lattice="-3.021 1.852 1.589 -3.107 0.861 -2.165 -6.450 -8.501 2.392" Properties=species:S:1:pos:R:3 pbc="T T T"
Pr 0.000 0.000 0.000
Ir -6.289 -2.894 0.908
Sm -4.927 -5.249 1.499
Sm -7.652 -0.538 0.317
```

Values from the calculation:
Fermi-level density of states = 1.375 states/eV per atom
E_tot = -5.900 eV per atom

---

Here is a relaxed structure of In3MoCl from the Alexandria database. Energies are from PBE-GGA.

```
5
Lattice="5.411 0.000 0.000 0.000 5.411 0.000 0.000 0.000 5.411" Properties=species:S:1:pos:R:3 pbc="T T T"
Mo 0.000 0.000 0.000
Cl 2.705 2.705 2.705
In 0.000 2.705 0.000
In 0.000 0.000 2.705
In 2.705 0.000 0.000
```

Values from the calculation:
Fermi-level density of states = 1.095 states/eV per atom
E_tot = -3.798 eV per atom
Formation energy (no corrections) = 0.3810 eV per atom

---

Copy entry 9 word for word.
Here is a relaxed structure of K3AgW from the Alexandria database. Energies are from PBE-GGA.

```
5
Lattice="-5.459 2.363 -2.111 -2.576 -0.861 5.698 1.845 5.789 1.709" Properties=species:S:1:pos:R:3 pbc="T T T"
K -1.288 -0.430 2.849
K 0.923 2.895 0.854
K -2.730 1.182 -1.056
Ag 0.000 0.000 0.000
W -3.095 3.646 2.648
```

Values from the calculation:
Fermi-level density of states = 0.669 states/eV per atom
E_tot = -2.438 eV per atom

---

Which of these has the lowest E_tot? Dy2GeRu2

---

Number 1 is which compound? Be2SnPt2

---

Copy entry 8 word for word.
Here is a relaxed structure of InOs2RuS from the Alexandria database. Energies are from PBE-GGA.

```
5
Lattice="4.908 0.000 0.000 0.000 4.699 0.000 0.000 0.000 4.908" Properties=species:S:1:pos:R:3 pbc="T T T"
Ru 2.454 2.349 2.454
S 0.000 2.349 0.000
Os 0.000 0.000 2.454
Os 2.454 0.000 0.000
In 0.000 0.000 0.000
```

Values from the calculation:
Fermi-level density of states = 2.047 states/eV per atom
E_tot = -4.799 eV per atom
Formation energy (no corrections) = 2.9215 eV per atom